Entry 1:
BaCaCr | PBE | relaxed

Values from the calculation:
VASP energy	-23.82	eV for the cell shown
space group	Cm (8)
total magnetization	2.25	μB/f.u.
excess energy over the best structure of this formula in the dataset	224.9	meV per atom

```
BaCaCr
1.0
8.152 -2.079 0.000
8.152 2.079 0.000
-1.254 0.000 6.706
Ba Ca Cr
2 2 2
direct
0.000 0.000 0.000
0.248 0.248 0.881
0.566 0.566 0.518
0.832 0.832 0.416
0.176 0.176 0.320
0.661 0.661 0.175
```

---

Entry 2:
LiCa2TlS4 | PBE | relaxed

Values from the calculation:
VASP energy	-70.10	eV for the cell shown
space group	Imma (74)
total magnetization	0.00	μB/f.u.

```
LiCa2TlS4
1.0
-4.017 4.035 5.436
4.017 -4.035 5.436
4.017 4.035 -5.436
Li Ca Tl S
2 4 2 8
direct
0.000 0.000 0.000
0.500 0.000 0.500
0.000 0.500 0.500
0.500 0.000 0.000
0.500 0.500 0.000
0.500 0.500 0.500
0.000 0.000 0.500
0.000 0.500 0.000
0.238 0.236 0.498
0.238 0.741 0.002
0.247 0.242 0.005
0.262 0.758 0.505
0.738 0.242 0.495
0.753 0.758 0.995
0.762 0.259 0.998
0.762 0.764 0.502
```

---

Entry 3:
Dy3YPt8 | PBE | relaxed

Values from the calculation:
VASP energy	-81.44	eV for the cell shown
space group	P3m1 (156)
total magnetization	0.00	μB/f.u.

```
Dy3YPt8
1.0
5.454 0.000 0.000
-2.727 4.723 0.000
0.000 0.000 8.875
Dy Y Pt
3 1 8
direct
0.000 0.000 0.000
0.000 0.000 0.370
0.333 0.667 0.871
0.333 0.667 0.500
0.005 0.502 0.185
0.328 0.164 0.685
0.498 0.502 0.185
0.498 0.995 0.185
0.667 0.333 0.435
0.667 0.333 0.935
0.836 0.164 0.685
0.836 0.672 0.685
```

---

Entry 4:
ZrAlAs2 | PBE | relaxed

Values from the calculation:
VASP energy	-21.25	eV for the cell shown
space group	F-43m (216)
total magnetization	0.00	μB/f.u.

```
ZrAlAs2
1.0
0.000 3.389 3.389
3.389 0.000 3.389
3.389 3.389 0.000
Zr Al As
1 1 2
direct
0.000 0.000 0.000
0.750 0.750 0.750
0.250 0.250 0.250
0.500 0.500 0.500
```

---

Entry 5:
CeTh3N4 | PBE | relaxed

Values from the calculation:
VASP energy	-74.00	eV for the cell shown
space group	Cmmm (65)
total magnetization	0.00	μB/f.u.
excess energy over the best structure of this formula in the dataset	0.0	meV per atom

```
CeTh3N4
1.0
3.646 -5.154 0.000
3.646 5.154 0.000
0.000 0.000 3.634
Ce Th N
1 3 4
direct
0.000 0.000 0.000
0.000 0.500 0.500
0.500 0.000 0.500
0.500 0.500 0.000
0.249 0.249 0.500
0.249 0.751 0.000
0.751 0.249 0.000
0.751 0.751 0.500
```

---

Entry 6:
Th2PC | PBE | relaxed

Values from the calculation:
VASP energy	-31.96	eV for the cell shown
space group	R3m (160)
total magnetization	0.00	μB/f.u.
excess energy over the best structure of this formula in the dataset	290.6	meV per atom

```
Th2PC
1.0
1.907 1.101 6.944
-1.907 1.101 6.944
0.000 -2.201 6.944
Th P C
2 1 1
direct
0.000 0.000 0.000
0.153 0.153 0.153
0.576 0.576 0.576
0.747 0.747 0.747
```

---

- Number 6 is which compound?
  Th2PC